1.
A relaxed Ce2GaPd5 crystal. Source: the Alexandria database, functional PBE.

Cell: 5.9659 5.9659 5.9659 Å, 117.94 117.94 93.61°
Atoms (fractional coordinates):
Ce 0.0000 0.5000 0.5000
Ce 0.5000 0.0000 0.5000
Ga 0.3476 0.3476 0.0000
Pd 0.0090 0.0090 0.0000
Pd 0.5164 0.5164 0.5505
Pd 0.5164 0.9659 0.0000
Pd 0.9659 0.5164 0.0000
Pd 0.9659 0.9659 0.4495

Properties
SG	I4mm (107)
volume	19.312	Å³/atom
total magnetization	0.118	μB per atom
calculated formation energy	-689	meV per atom


2.
A relaxed RbPrSO crystal. Source: the Alexandria database, functional PBE.

Cell: 7.6395 7.6395 7.6395 Å, 29.91 29.91 29.91°
Atoms (fractional coordinates):
Rb 0.0000 0.0000 0.0000
Pr 0.5148 0.5148 0.5148
S 0.7681 0.7681 0.7681
O 0.2264 0.2264 0.2264

Properties
SG	R3m (160)
formation energy from raw total energies	-203.2	kJ/mol of atoms
volume	24.551	Å³/atom
total magnetization	0.000	μB per atom


3.
A relaxed Tl5SnF9 crystal. Source: the Alexandria database, functional PBE.

Cell: 8.1158 11.3711 6.9127 Å, 90.00 90.00 90.00°
Atoms (fractional coordinates):
Tl 0.0000 0.2367 0.0000
Tl 0.0000 0.7633 0.5000
Tl 0.2252 0.0837 0.5153
Tl 0.2252 0.9163 0.0153
Tl 0.2273 0.4230 0.5977
Tl 0.2273 0.5770 0.0977
Tl 0.7727 0.4230 0.5977
Tl 0.7727 0.5770 0.0977
Tl 0.7748 0.0837 0.5153
Tl 0.7748 0.9163 0.0153
Sn 0.5000 0.2508 0.0605
Sn 0.5000 0.7492 0.5605
F 0.0000 0.0148 0.2536
F 0.0000 0.2505 0.5980
F 0.0000 0.4663 0.8927
F 0.0000 0.5337 0.3927
F 0.0000 0.7495 0.0980
F 0.0000 0.9852 0.7536
F 0.3195 0.3030 0.2415
F 0.3195 0.6970 0.7415
F 0.3243 0.1980 0.8728
F 0.3243 0.8020 0.3728
F 0.5000 0.0917 0.1846
F 0.5000 0.4099 0.9352
F 0.5000 0.5901 0.4352
F 0.5000 0.9083 0.6846
F 0.6757 0.1980 0.8728
F 0.6757 0.8020 0.3728
F 0.6805 0.3030 0.2415
F 0.6805 0.6970 0.7415

Properties
SG	Pmc2_1 (26)
formation energy from raw total energies	-200.5	kJ/mol of atoms
volume	21.265	Å³/atom
total magnetization	0.000	μB per atom


4.
A relaxed Ca3RuN crystal. Source: the Alexandria database, functional PBE.

Cell: 5.2640 5.2640 5.2640 Å, 90.00 90.00 90.00°
Atoms (fractional coordinates):
Ca 0.0000 0.0000 0.5000
Ca 0.0000 0.5000 0.0000
Ca 0.5000 0.0000 0.0000
Ru 0.0000 0.0000 0.0000
N 0.5000 0.5000 0.5000

Properties
offset from the most stable computed form	1047.1	meV/atom
SG	Pm-3m (221)
formation energy from raw total energies	93.7	kJ/mol of atoms
volume	29.172	Å³/atom
total magnetization	0.200	μB per atom